Eu3InP3 | PBE-GGA | relaxed

Computed properties:
The total energy is -8.08 eV/atom. Its calculated formation energy is -94 kJ per mole of atoms.

a = 12.680 Å, b = 4.251 Å, c = 13.478 Å
α = 90.00°, β = 90.00°, γ = 90.00°
Fractional coordinates of all 28 atoms:
Eu (0.077, 0.250, 0.106)
Eu (0.140, 0.750, 0.509)
Eu (0.222, 0.750, 0.798)
Eu (0.278, 0.250, 0.298)
Eu (0.360, 0.250, 0.009)
Eu (0.423, 0.750, 0.606)
Eu (0.577, 0.250, 0.394)
Eu (0.640, 0.750, 0.991)
Eu (0.722, 0.750, 0.702)
Eu (0.778, 0.250, 0.202)
Eu (0.860, 0.250, 0.491)
Eu (0.923, 0.750, 0.894)
In (0.045, 0.250, 0.699)
In (0.455, 0.750, 0.199)
In (0.545, 0.250, 0.801)
In (0.955, 0.750, 0.301)
P (0.056, 0.250, 0.362)
P (0.090, 0.250, 0.888)
P (0.244, 0.250, 0.631)
P (0.256, 0.750, 0.131)
P (0.410, 0.750, 0.388)
P (0.444, 0.750, 0.862)
P (0.556, 0.250, 0.138)
P (0.590, 0.250, 0.612)
P (0.744, 0.250, 0.869)
P (0.756, 0.750, 0.369)
P (0.910, 0.750, 0.112)
P (0.944, 0.750, 0.638)

---

EuPaIn2 | PBE-GGA | relaxed

Computed properties:
The total energy is -6.38 eV/atom. Its calculated formation energy is -7 kJ per mole of atoms.

a = 11.373 Å, b = 11.373 Å, c = 11.373 Å
α = 16.89°, β = 16.89°, γ = 16.89°
Fractional coordinates of all 4 atoms:
Eu (0.000, 0.000, 0.000)
Pa (0.500, 0.500, 0.500)
In (0.249, 0.249, 0.249)
In (0.751, 0.751, 0.751)

---

Eu2PaIn | PBE-GGA | relaxed

Computed properties:
The total energy is -8.08 eV/atom. Its calculated formation energy is 11 kJ per mole of atoms.

a = 11.516 Å, b = 11.516 Å, c = 11.516 Å
α = 17.28°, β = 17.28°, γ = 17.28°
Fractional coordinates of all 4 atoms:
Eu (0.249, 0.249, 0.249)
Eu (0.751, 0.751, 0.751)
Pa (0.000, 0.000, 0.000)
In (0.500, 0.500, 0.500)

---

EuPaIn4 | PBE-GGA | relaxed

Computed properties:
The total energy is -5.22 eV/atom. Its calculated formation energy is -10 kJ per mole of atoms.

a = 6.059 Å, b = 6.059 Å, c = 6.059 Å
α = 60.00°, β = 60.00°, γ = 60.00°
Fractional coordinates of all 6 atoms:
Eu (0.000, 0.000, 0.000)
Pa (0.750, 0.750, 0.750)
In (0.375, 0.375, 0.375)
In (0.375, 0.375, 0.874)
In (0.375, 0.874, 0.375)
In (0.874, 0.375, 0.375)

---

Number 1: volume 726 Å³ per cell. Number 2: volume 108 Å³ per cell. Number 3: volume 118 Å³ per cell. Number 4: volume 157 Å³ per cell.